(1)
## NaPmTmPb (PBE)

Data for a geometry-optimized NaPmTmPb structure.

The structure in POSCAR format:
```
NaPmTmPb
1.0
7.692 0.000 0.000
0.000 7.692 0.000
0.000 0.000 7.692
Na Pm Tm Pb
4 4 4 4
Direct
0.000 0.000 0.000
0.000 0.500 0.500
0.500 0.000 0.500
0.500 0.500 0.000
0.250 0.250 0.750
0.250 0.750 0.250
0.750 0.250 0.250
0.750 0.750 0.750
0.250 0.250 0.250
0.250 0.750 0.750
0.750 0.250 0.750
0.750 0.750 0.250
0.000 0.000 0.500
0.000 0.500 0.000
0.500 0.000 0.000
0.500 0.500 0.500
```

Results
As for the space group: F-43m, No. 216. The value obtained for the total moment is 0.0008 μB/atom. The total energy comes out at -3.694 eV/atom. For the energy of formation from the pure elements, the calculation gives -0.132 eV per atom. Its volume is 455.1 Å³/cell.

***

(2)
## Tm7PS5 (PBE)

Data for a geometry-optimized Tm7PS5 structure.

The structure in POSCAR format:
```
Tm7PS5
1.0
6.287 -1.892 0.000
6.287 1.892 0.000
-0.840 0.000 23.007
Tm P S
14 2 10
Direct
0.036 0.036 0.253
0.134 0.134 0.963
0.143 0.143 0.537
0.295 0.295 0.319
0.316 0.316 0.178
0.401 0.401 0.884
0.423 0.423 0.608
0.577 0.577 0.392
0.599 0.599 0.116
0.684 0.684 0.822
0.705 0.705 0.681
0.857 0.857 0.463
0.866 0.866 0.037
0.964 0.964 0.747
0.307 0.307 0.769
0.693 0.693 0.231
0.043 0.043 0.856
0.064 0.064 0.644
0.220 0.220 0.428
0.227 0.227 0.071
0.500 0.500 0.000
0.500 0.500 0.500
0.773 0.773 0.929
0.780 0.780 0.572
0.936 0.936 0.356
0.957 0.957 0.144
```

Results
As for the space group: C2/m, No. 12. The value obtained for the total moment is 0.0000 μB/atom. The total energy comes out at -6.126 eV/atom. Its uncorrected formation energy is -1714 meV/atom. Its volume is 547.4 Å³/cell.

***

(3)
## CsLiU2I8 (PBE)

Data for a geometry-optimized CsLiU2I8 structure.

The structure in POSCAR format:
```
CsLiU2I8
1.0
7.968 0.000 0.000
-3.984 6.901 0.000
0.000 0.000 9.650
Cs Li U I
1 1 2 8
Direct
0.000 0.000 0.000
0.000 0.000 0.500
0.333 0.667 0.414
0.667 0.333 0.586
0.068 0.355 0.655
0.287 0.932 0.655
0.333 0.667 0.096
0.355 0.287 0.345
0.645 0.713 0.655
0.667 0.333 0.904
0.713 0.068 0.345
0.932 0.645 0.345
```

Results
As for the space group: P-3, No. 147. The value obtained for the total moment is 0.5000 μB/atom. The total energy comes out at -4.092 eV/atom. Its uncorrected formation energy is -946 meV/atom. Its volume is 530.6 Å³/cell.

***

- Among the records above, which one has the lowest total moment?
  Tm7PS5

***

- The lowest total moment belongs to which entry?
  Tm7PS5

***

Copy entry 3 word for word.
## CsLiU2I8 (PBE)

Data for a geometry-optimized CsLiU2I8 structure.

The structure in POSCAR format:
```
CsLiU2I8
1.0
7.968 0.000 0.000
-3.984 6.901 0.000
0.000 0.000 9.650
Cs Li U I
1 1 2 8
Direct
0.000 0.000 0.000
0.000 0.000 0.500
0.333 0.667 0.414
0.667 0.333 0.586
0.068 0.355 0.655
0.287 0.932 0.655
0.333 0.667 0.096
0.355 0.287 0.345
0.645 0.713 0.655
0.667 0.333 0.904
0.713 0.068 0.345
0.932 0.645 0.345
```

Results
As for the space group: P-3, No. 147. The value obtained for the total moment is 0.5000 μB/atom. The total energy comes out at -4.092 eV/atom. Its uncorrected formation energy is -946 meV/atom. Its volume is 530.6 Å³/cell.